Crystalline Zn2Ru2N at its relaxed geometry. Source: the Alexandria database, functional PBE.

Density of states at the Fermi level ... 1.07 states/eV per atom
Distance to the lowest polymorph of the same formula ... 4.94 eV/f.u.
Formation energy (no corrections) ... 1164 meV/atom
Space group ... No. 139

a b c (Å): 7.135 7.135 7.135
angles (deg): 154.41 154.41 36.51
Atoms (fractional coordinates):
Zn 0.250 0.750 0.500
Zn 0.750 0.250 0.500
Ru 0.090 0.090 0.000
Ru 0.910 0.910 0.000
N 0.500 0.500 0.000